Record 1
Crystalline Ce2HOs at its relaxed geometry. Source: the Alexandria database, functional PBE-GGA.

```
data_Ce2HOs
_chemical_formula_sum 'Ce2 H1 Os1'
_space_group_name_H-M_alt 'P 4/m m m'
_space_group_IT_number 123
_space_group_name_Hall '-P 4 2'
_cell_length_a 3.207
_cell_length_b 3.207
_cell_length_c 6.724
_cell_angle_alpha 90.00
_cell_angle_beta 90.00
_cell_angle_gamma 90.00
loop_
_atom_site_label
_atom_site_type_symbol
_atom_site_fract_x
_atom_site_fract_y
_atom_site_fract_z
Ce1 Ce 0.000 0.000 0.219
H1 H 0.500 0.500 0.000
Os1 Os 0.500 0.500 0.500
```

Record 2
Crystalline CeH7Os2 at its relaxed geometry. Source: the Alexandria database, functional PBE-GGA.

```
data_CeH7Os2
_chemical_formula_sum 'Ce2 H14 Os4'
_space_group_name_H-M_alt 'C m m m'
_space_group_IT_number 65
_space_group_name_Hall '-C 2 2'
_cell_length_a 5.337
_cell_length_b 9.380
_cell_length_c 3.373
_cell_angle_alpha 90.00
_cell_angle_beta 90.00
_cell_angle_gamma 90.00
loop_
_atom_site_label
_atom_site_type_symbol
_atom_site_fract_x
_atom_site_fract_y
_atom_site_fract_z
Ce1 Ce 0.000 0.000 0.000
H1 H 0.000 0.369 0.000
H2 H 0.000 0.500 0.500
H3 H 0.178 0.148 0.500
Os1 Os 0.000 0.316 0.500
```

Record 3
Crystalline Ce3H2Os at its relaxed geometry. Source: the Alexandria database, functional PBE-GGA.

```
data_Ce3H2Os
_chemical_formula_sum 'Ce12 H8 Os4'
_space_group_name_H-M_alt 'C 1 2/m 1'
_space_group_IT_number 12
_space_group_name_Hall '-C 2y'
_cell_length_a 6.703
_cell_length_b 11.238
_cell_length_c 6.493
_cell_angle_alpha 90.00
_cell_angle_beta 110.45
_cell_angle_gamma 90.00
loop_
_atom_site_label
_atom_site_type_symbol
_atom_site_fract_x
_atom_site_fract_y
_atom_site_fract_z
Ce1 Ce 0.193 0.000 0.190
Ce2 Ce 0.243 0.337 0.255
H1 H 0.000 0.000 0.500
H2 H 0.000 0.187 0.000
H3 H 0.000 0.500 0.000
Os1 Os 0.000 0.358 0.500
```

Record 4
Crystalline CeH2Os at its relaxed geometry. Source: the Alexandria database, functional PBE-GGA.

```
data_CeH2Os
_chemical_formula_sum 'Ce3 H6 Os3'
_space_group_name_H-M_alt 'R -3 m'
_space_group_IT_number 166
_space_group_name_Hall '-R 3 2"'
_cell_length_a 4.0967
_cell_length_b 4.0967
_cell_length_c 10.8174
_cell_angle_alpha 90.00
_cell_angle_beta 90.00
_cell_angle_gamma 120.00
loop_
_atom_site_label
_atom_site_type_symbol
_atom_site_fract_x
_atom_site_fract_y
_atom_site_fract_z
Ce1 Ce 0.0000 0.0000 0.0000
H1 H 0.0000 0.0000 0.3402
Os1 Os 0.0000 0.0000 0.5000
```

Record 5
Crystalline Ce4HOs2 at its relaxed geometry. Source: the Alexandria database, functional PBE-GGA.

```
data_Ce4HOs2
_chemical_formula_sum 'Ce8 H2 Os4'
_space_group_name_H-M_alt 'C 1 2/m 1'
_space_group_IT_number 12
_space_group_name_Hall '-C 2y'
_cell_length_a 11.523
_cell_length_b 3.814
_cell_length_c 8.281
_cell_angle_alpha 90.00
_cell_angle_beta 125.64
_cell_angle_gamma 90.00
loop_
_atom_site_label
_atom_site_type_symbol
_atom_site_fract_x
_atom_site_fract_y
_atom_site_fract_z
Ce1 Ce 0.075 0.000 0.355
Ce2 Ce 0.175 0.500 0.082
H1 H 0.000 0.000 0.000
Os1 Os 0.151 0.500 0.651
```

Record 6
Crystalline Ce6HOs2 at its relaxed geometry. Source: the Alexandria database, functional PBE-GGA.

```
data_Ce6HOs2
_chemical_formula_sum 'Ce12 H2 Os4'
_space_group_name_H-M_alt 'P 1 21/c 1'
_space_group_IT_number 14
_space_group_name_Hall '-P 2ybc'
_cell_length_a 6.148
_cell_length_b 7.041
_cell_length_c 11.436
_cell_angle_alpha 90.00
_cell_angle_beta 122.50
_cell_angle_gamma 90.00
loop_
_atom_site_label
_atom_site_type_symbol
_atom_site_fract_x
_atom_site_fract_y
_atom_site_fract_z
Ce1 Ce 0.083 0.154 0.444
Ce2 Ce 0.311 0.650 0.445
Ce3 Ce 0.375 0.037 0.250
H1 H 0.000 0.000 0.000
Os1 Os 0.173 0.137 0.749
```

Record 7
Crystalline CeH8Os2 at its relaxed geometry. Source: the Alexandria database, functional PBE-GGA.

```
data_CeH8Os2
_chemical_formula_sum 'Ce2 H16 Os4'
_space_group_name_H-M_alt 'C 1 m 1'
_space_group_IT_number 8
_space_group_name_Hall 'C -2y'
_cell_length_a 4.822
_cell_length_b 8.324
_cell_length_c 4.479
_cell_angle_alpha 90.00
_cell_angle_beta 93.92
_cell_angle_gamma 90.00
loop_
_atom_site_label
_atom_site_type_symbol
_atom_site_fract_x
_atom_site_fract_y
_atom_site_fract_z
Ce1 Ce 0.000 0.000 0.000
H1 H 0.075 0.130 0.471
H2 H 0.077 0.500 0.317
H3 H 0.254 0.285 0.772
H4 H 0.358 0.226 0.180
H5 H 0.487 0.000 0.821
Os1 Os 0.425 0.160 0.530
```

Record 8
Crystalline Ce4HOs2 at its relaxed geometry. Source: the Alexandria database, functional PBE-GGA.

```
data_Ce4HOs2
_chemical_formula_sum 'Ce4 H1 Os2'
_space_group_name_H-M_alt 'P 1 2/m 1'
_space_group_IT_number 10
_space_group_name_Hall '-P 2y'
_cell_length_a 5.079
_cell_length_b 4.864
_cell_length_c 5.783
_cell_angle_alpha 90.00
_cell_angle_beta 90.04
_cell_angle_gamma 90.00
loop_
_atom_site_label
_atom_site_type_symbol
_atom_site_fract_x
_atom_site_fract_y
_atom_site_fract_z
Ce1 Ce 0.242 0.000 0.334
Ce2 Ce 0.252 0.500 0.069
H1 H 0.000 0.000 0.000
Os1 Os 0.252 0.500 0.577
```

Number 1: uncorrected energy -6.80 eV per atom, D(E_F) 6.3 states/eV/f.u.. Number 2: uncorrected energy -5.22 eV per atom, D(E_F) 3.6 states/eV/f.u.. Number 3: uncorrected energy -6.20 eV per atom, D(E_F) 12.4 states/eV/f.u.. Number 4: uncorrected energy -6.10 eV per atom, D(E_F) 2.0 states/eV/f.u.. Number 5: uncorrected energy -7.31 eV per atom, D(E_F) 12.1 states/eV/f.u.. Number 6: uncorrected energy -7.02 eV per atom, D(E_F) 22.1 states/eV/f.u.. Number 7: uncorrected energy -5.07 eV per atom, D(E_F) 7.0 states/eV/f.u.. Number 8: uncorrected energy -6.99 eV per atom, D(E_F) 12.8 states/eV/f.u..